This record from the Alexandria database describes a relaxed structure of AcGdSbAu. The functional is PBE. Values from VASP.

The structure in Quantum ESPRESSO input format:
```
&SYSTEM
  ibrav = 0, nat = 4, ntyp = 4
/
ATOMIC_SPECIES
Ac 227.00 Ac.upf
Gd 157.25 Gd.upf
Sb 121.76 Sb.upf
Au 196.97 Au.upf
ATOMIC_POSITIONS crystal
Ac 0.000 0.000 0.000
Gd 0.500 0.500 0.500
Sb 0.250 0.250 0.250
Au 0.750 0.750 0.750
CELL_PARAMETERS angstrom
0.000 3.882 3.882
3.882 0.000 3.882
3.882 3.882 0.000
```

Summary:
As for the magnetic moment: 8.20 μB/cell. For the uncorrected formation energy, the calculation gives -783 meV per atom.